(1)
## Nd9CdSn2 (PBE)

Data for a relaxed Nd9CdSn2 crystal.

```
Nd9CdSn2
1.0
-2.886 2.737 2.985
2.050 -2.174 3.975
10.424 10.555 0.397
Sn Nd Cd
2 9 1
Cartesian
3.472 3.516 0.132
6.952 7.039 0.265
7.216 10.136 1.822
3.054 3.797 3.612
6.237 4.191 2.186
0.323 3.156 1.560
-0.418 0.282 3.480
6.534 7.321 3.745
9.684 7.680 2.318
3.769 6.646 1.691
2.790 0.701 2.055
0.000 0.000 0.000
```

Computed properties:
As for the space group: No. 123. The crystal system is tetragonal.


(2)
## Nd8Cd2Sn (PBE)

Data for a relaxed Nd8Cd2Sn crystal.

```
Nd8Cd2Sn
1.0
5.463 0.000 0.000
0.000 8.814 -0.297
-2.732 -4.027 7.412
Cd Nd Sn
2 8 1
Cartesian
0.000 3.588 3.128
2.732 1.200 3.987
0.000 1.584 5.875
2.732 6.942 2.399
2.732 -1.003 6.312
0.000 -2.155 4.716
0.000 0.543 1.990
2.732 4.245 5.125
2.732 3.203 1.240
0.000 5.791 0.803
2.732 0.000 0.000
```

Computed properties:
As for the space group: No. 12. The crystal system is monoclinic.


(3)
## Nd5Cd2Sn (PBE)

Data for a relaxed Nd5Cd2Sn crystal.

```
Nd5Cd2Sn
1.0
8.085 0.000 0.000
0.000 8.085 0.000
-4.042 -4.042 7.640
Nd Cd Sn
10 4 2
Cartesian
2.735 1.307 2.372
0.000 0.000 0.000
6.777 2.735 2.372
1.307 5.350 2.372
2.735 -1.307 5.268
-1.307 -2.735 5.268
5.350 6.777 2.372
1.307 2.735 5.268
4.042 4.042 0.000
-2.735 1.307 5.268
7.048 5.079 0.000
3.005 7.048 0.000
1.037 3.005 0.000
5.079 1.037 0.000
0.000 0.000 3.820
4.042 4.042 3.820
```

Computed properties:
As for the space group: No. 140. The crystal system is tetragonal.


no.,calculated formation energy (meV per atom),volume (Å³ per cell)
1,-339,367.0
2,-242,350.4
3,-331,499.4